[1]
A relaxed structure of SnCNF2. Source: the Alexandria database, functional PBE-GGA.

- uncorrected formation energy (eV per atom) = 0.664
- uncorrected energy (eV/atom) = -4.395

Structure (POSCAR):
```
SnCNF2
1.0
4.135 0.000 0.000
0.000 4.135 0.000
0.000 0.000 4.059
Sn C N F
1 1 1 2
direct
0.000 0.000 0.000
0.500 0.500 0.500
0.000 0.000 0.500
0.000 0.500 0.000
0.500 0.000 0.000
```

***

[2]
A relaxed structure of HfCd2Pt2. Source: the Alexandria database, functional PBE-GGA.

- formation enthalpy at 0 K (eV per atom) = -0.448
- uncorrected energy (eV/atom) = -5.221

Structure (POSCAR):
```
HfCd2Pt2
1.0
6.946 0.000 0.000
0.000 6.946 0.000
0.000 0.000 4.098
Hf Cd Pt
2 4 4
direct
0.000 0.000 0.000
0.500 0.500 0.000
0.165 0.335 0.500
0.335 0.835 0.500
0.665 0.165 0.500
0.835 0.665 0.500
0.137 0.637 0.000
0.363 0.137 0.000
0.637 0.863 0.000
0.863 0.363 0.000
```

***

[3]
A relaxed structure of NdAl2CdAg. Source: the Alexandria database, functional PBE-GGA.

- formation enthalpy at 0 K (eV per atom) = -0.320
- uncorrected energy (eV/atom) = -3.524

Structure (POSCAR):
```
NdAl2CdAg
1.0
4.408 0.000 0.000
0.000 4.408 0.000
0.000 0.000 11.223
Nd Al Cd Ag
2 4 2 2
direct
0.000 0.000 0.000
0.500 0.500 0.500
0.000 0.000 0.388
0.000 0.000 0.612
0.500 0.500 0.112
0.500 0.500 0.888
0.000 0.500 0.750
0.500 0.000 0.250
0.000 0.500 0.250
0.500 0.000 0.750
```

***

[4]
A relaxed structure of ErWN2. Source: the Alexandria database, functional PBE-GGA.

- uncorrected formation energy (eV per atom) = -1.140
- uncorrected energy (eV/atom) = -9.681

Structure (POSCAR):
```
ErWN2
1.0
5.689 0.000 0.000
0.000 3.184 0.000
0.000 0.000 10.511
Er W N
4 4 8
direct
0.079 0.250 0.145
0.421 0.750 0.645
0.579 0.250 0.355
0.921 0.750 0.855
0.067 0.750 0.405
0.433 0.250 0.905
0.567 0.750 0.095
0.933 0.250 0.595
0.165 0.250 0.751
0.235 0.750 0.994
0.265 0.250 0.494
0.335 0.750 0.251
0.665 0.250 0.749
0.735 0.750 0.506
0.765 0.250 0.006
0.835 0.750 0.249
```

***

[5]
A relaxed structure of Cs2NbIr. Source: the Alexandria database, functional PBE-GGA.

- formation enthalpy at 0 K (eV per atom) = 1.972
- uncorrected energy (eV/atom) = -3.187

Structure (POSCAR):
```
Cs2NbIr
1.0
8.075 0.000 0.000
0.000 8.075 0.000
0.000 0.000 8.075
Cs Nb Ir
8 4 4
direct
0.250 0.250 0.250
0.250 0.250 0.750
0.250 0.750 0.250
0.250 0.750 0.750
0.750 0.250 0.250
0.750 0.250 0.750
0.750 0.750 0.250
0.750 0.750 0.750
0.000 0.000 0.000
0.000 0.500 0.500
0.500 0.000 0.500
0.500 0.500 0.000
0.000 0.000 0.500
0.000 0.500 0.000
0.500 0.000 0.000
0.500 0.500 0.500
```

***

[6]
A relaxed structure of Y2MnGaC. Source: the Alexandria database, functional PBE-GGA.

- formation enthalpy at 0 K (eV per atom) = -0.381
- uncorrected energy (eV/atom) = -7.251

Structure (POSCAR):
```
Y2MnGaC
1.0
4.955 0.000 0.000
0.000 4.955 0.000
0.000 0.000 3.750
Y Mn Ga C
2 1 1 1
direct
0.000 0.500 0.000
0.500 0.000 0.000
0.000 0.000 0.500
0.500 0.500 0.500
0.000 0.000 0.000
```

***

The highest uncorrected energy belongs to which entry? Cs2NbIr

***

What is the formula in the sixth record? Y2MnGaC